## Pm2ZnCuS5 (PBE)

Data for Pm2ZnCuS5 after structural relaxation.

Unit cell a=3.9187 b=16.0112 c=11.9168 alpha=90.00 beta=90.00 gamma=90.00
Closest atoms and distances in Å follow each position.
Space group Cmc2_1 (No. 36)
Unique sites:
Pm: 0.0000 0.1079 0.0000 (multiplicity 4)  8 S 2.85-3.07
Pm: 0.0000 0.1393 0.6352 (multiplicity 4)  7 S 2.85-2.96, 1 Cu 3.17
Zn: 0.0000 0.4327 0.7625 (multiplicity 4)  4 S 2.33-2.36
Cu: 0.0000 0.2031 0.3838 (multiplicity 4)  4 S 2.29-2.37
S: 0.0000 0.0562 0.3670 (multiplicity 4)  2 Zn 2.33, 1 Cu 2.36
S: 0.0000 0.2852 0.9825 (multiplicity 4)  2 Cu 2.29
S: 0.0000 0.3170 0.6423 (multiplicity 4)  1 Zn 2.34
S: 0.0000 0.3432 0.3199 (multiplicity 4)  1 Cu 2.37
S: 0.0000 0.4870 0.0964 (multiplicity 4)  1 Zn 2.36

Summary:
Raw formation energy (eV/atom): -1.26